(1)
Here is KAlPb2 after structural relaxation from the Alexandria database. Energies are from PBE.

abc: 7.100 11.453 3.261
angles: 90.00 113.34 90.00
Space group C2/m (No. 12)
Symmetry-distinct sites (fractional):
K  0.000  0.000  0.000 (multiplicity 2)
Al  0.000  0.500  0.000 (multiplicity 2)
Pb  0.250  0.250  0.500 (multiplicity 4)

Computed properties:
total energy	-2.87	eV/atom
energy of formation from the pure elements	189	meV/atom



(2)
Here is KAlPb2 after structural relaxation from the Alexandria database. Energies are from PBE.

abc: 5.718 5.742 7.947
angles: 90.00 90.00 90.00
Space group Cmm2 (No. 35)
Symmetry-distinct sites (fractional):
K  0.000  0.000  0.000 (multiplicity 2)
Al  0.000  0.500  0.305 (multiplicity 2)
Pb  0.000  0.000  0.462 (multiplicity 2)
Pb  0.000  0.500  0.680 (multiplicity 2)

Computed properties:
total energy	-2.99	eV/atom
energy of formation from the pure elements	78	meV/atom



> The lowest total energy belongs to which entry?

number 2



> energy of formation from the pure elements of number 2 (KAlPb2)?

78 meV/atom



> total energy of number 2 (KAlPb2)?

-2.99 eV/atom